AgB3F12: relaxed, PBE-GGA.

## Properties
Formation energy from raw total energies in meV per atom: -2288.1
Calculated density in g/cm³: 2.642
Space-group type: R3c, No. 161

The structure in POSCAR format:
```
AgB3F12
1.0
-7.901 1.920 1.426
-5.921 -2.955 -4.935
-5.307 -6.651 3.446
F B Ag
24 6 2
direct
0.069 0.489 0.995
0.772 0.171 0.001
0.489 0.447 0.995
0.447 0.069 0.995
0.556 0.671 0.501
0.975 0.293 0.355
0.272 0.556 0.501
0.187 0.284 0.651
0.377 0.784 0.151
0.569 0.947 0.495
0.687 0.377 0.151
0.877 0.793 0.855
0.989 0.569 0.495
0.671 0.272 0.501
0.793 0.475 0.855
0.877 0.187 0.651
0.056 0.772 0.001
0.293 0.377 0.355
0.284 0.877 0.651
0.377 0.975 0.355
0.947 0.989 0.495
0.171 0.056 0.001
0.784 0.687 0.151
0.475 0.877 0.855
0.177 0.447 0.493
0.883 0.177 0.493
0.447 0.883 0.493
0.677 0.383 0.993
0.383 0.947 0.993
0.947 0.677 0.993
0.058 0.058 0.825
0.558 0.558 0.325
```